Sr2CdBiSe, relaxed, DFT PBE-GGA; raw total energy = -12.76 eV for the cell shown; calculated density = 4.758 g/cm3
1.0
6.393 0.000 0.000
0.000 6.393 0.000
0.000 0.000 4.915
Sr Cd Bi Se
2 1 1 1
direct
0.000 0.500 0.000
0.500 0.000 0.000
0.000 0.000 0.000
0.500 0.500 0.500
0.000 0.000 0.500

***

Tl2CdBiSe4, relaxed, DFT PBE-GGA; raw total energy = -53.36 eV for the cell shown; calculated density = 7.740 g/cm3
1.0
-4.287 4.295 6.094
4.287 -4.295 6.094
4.287 4.295 -6.094
Tl Cd Bi Se
4 2 2 8
direct
0.000 0.000 0.000
0.500 0.000 0.000
0.500 0.000 0.500
0.500 0.500 0.500
0.000 0.500 0.500
0.500 0.500 0.000
0.000 0.000 0.500
0.000 0.500 0.000
0.227 0.740 0.487
0.243 0.267 0.524
0.243 0.719 0.976
0.247 0.260 0.987
0.753 0.740 0.013
0.757 0.281 0.024
0.757 0.733 0.476
0.773 0.260 0.513

***

Tl3CdBi2Se6, relaxed, DFT PBE-GGA; raw total energy = -41.68 eV for the cell shown; calculated density = 7.722 g/cm3
1.0
3.686 -6.402 0.000
3.686 6.402 0.000
-2.448 0.000 7.369
Tl Cd Bi Se
3 1 2 6
direct
0.000 0.000 0.000
0.332 0.668 0.000
0.668 0.332 0.000
0.500 0.500 0.500
0.166 0.834 0.500
0.834 0.166 0.500
0.101 0.427 0.280
0.248 0.248 0.718
0.427 0.101 0.280
0.573 0.899 0.720
0.752 0.752 0.282
0.899 0.573 0.720

***

CdBiW2Se, relaxed, DFT PBE-GGA; raw total energy = -22.21 eV for the cell shown; calculated density = 8.125 g/cm3
1.0
5.322 0.000 0.000
0.000 5.322 0.000
0.000 0.000 5.542
Cd Bi W Se
1 1 2 1
direct
0.000 0.000 0.000
0.500 0.500 0.500
0.000 0.500 0.500
0.500 0.000 0.500
0.500 0.500 0.000

***

Cd2SiBi2, relaxed, DFT PBE-GGA; relative energy among the computed polymorphs = 46 meV/atom; calculated density = 8.040 g/cm3
1.0
8.741 0.000 0.000
0.000 8.741 0.000
0.000 0.000 3.627
Cd Si Bi
4 2 4
direct
0.117 0.383 0.000
0.383 0.883 0.000
0.617 0.117 0.000
0.883 0.617 0.000
0.000 0.000 0.500
0.500 0.500 0.500
0.189 0.689 0.500
0.311 0.189 0.500
0.689 0.811 0.500
0.811 0.311 0.500

***

Cd2SiBi2, relaxed, DFT PBE-GGA; relative energy among the computed polymorphs = 0 meV/atom; calculated density = 8.358 g/cm3
1.0
7.073 0.000 0.000
0.000 7.073 0.000
0.000 0.000 5.329
Cd Si Bi
4 2 4
direct
0.144 0.356 0.000
0.356 0.856 0.000
0.644 0.144 0.000
0.856 0.644 0.000
0.000 0.000 0.000
0.500 0.500 0.000
0.171 0.671 0.500
0.329 0.171 0.500
0.671 0.829 0.500
0.829 0.329 0.500

***

Cd3SiBi, relaxed, DFT PBE-GGA; relative energy among the computed polymorphs = 0 meV/atom; calculated density = 6.932 g/cm3
1.0
5.162 0.000 0.000
0.000 5.162 0.000
0.000 0.000 5.162
Cd Si Bi
3 1 1
direct
0.000 0.000 0.500
0.000 0.500 0.000
0.500 0.000 0.000
0.000 0.000 0.000
0.500 0.500 0.500

***

CdSiBi3, relaxed, DFT PBE-GGA; relative energy among the computed polymorphs = 0 meV/atom; calculated density = 7.794 g/cm3
1.0
5.468 0.000 0.000
0.000 5.468 0.000
0.000 0.000 5.468
Cd Si Bi
1 1 3
direct
0.000 0.000 0.000
0.500 0.500 0.500
0.000 0.500 0.500
0.500 0.000 0.500
0.500 0.500 0.000

***

- Look up the calculated density of the seventh one.
  6.932 g/cm3

***

- Look up the calculated density of the second one.
  7.740 g/cm3